A plane-wave DFT calculation with GGA-PBE was carried out for crystalline Zn2CrAs at its relaxed geometry.

a = 3.0147 Å, b = 4.3545 Å, c = 5.5056 Å
α = 60.74°, β = 90.00°, γ = 90.00°
Closest atoms and distances in Å follow each position.
Fractional positions:
As  0.5000  0.5000  0.5000  4 Cr 2.65, 6 Zn 2.75-2.95
Cr  0.0000  0.0000  0.5000  4 As 2.65, 6 Zn 2.75-2.95
Zn  0.0000  0.0000  0.0000  4 Zn 2.65, 2 Cr 2.75, 4 As 2.95
Zn  0.5000  0.5000  0.0000  4 Zn 2.65, 2 As 2.75, 4 Cr 2.95

Values from the calculation:
E = -4.06 eV per atom
space group = P2/m
crystal system = monoclinic
volume = 63 Å³/f.u.